[1]
A plane-wave DFT calculation with PBE was carried out for a relaxed structure of CeGaIr4.

Unit cell a=7.5059 b=7.5059 c=7.5059 alpha=90.00 beta=90.00 gamma=90.00
Space group F-43m (No. 216)
Unique sites:
Ce 0.0000 0.0000 0.0000 x4
Ga 0.2500 0.2500 0.7500 x4
Ir 0.1242 0.1242 0.3758 x16

- energy of formation (eV/atom) = -0.385
- crystal system = cubic
- uncorrected energy (eV per atom) = -7.79

---

[2]
A plane-wave DFT calculation with PBE was carried out for a relaxed structure of Pm6DyY3.

Unit cell a=11.1556 b=19.4361 c=6.2489 alpha=90.00 beta=90.00 gamma=90.00
Space group Cmc2_1 (No. 36)
Unique sites:
Pm 0.0000 0.0420 0.0000 x4
Pm 0.0000 0.2795 0.2798 x4
Pm 0.1667 0.4566 0.3816 x8
Pm 0.2368 0.2897 0.5540 x8
Dy 0.0000 0.2014 0.8000 x4
Y 0.0000 0.3861 0.8464 x4
Y 0.1681 0.1121 0.4550 x8

- energy of formation (eV/atom) = 0.136
- crystal system = orthorhombic
- uncorrected energy (eV per atom) = -5.11
- E above lowest polymorph (eV/atom) = 0.000

---

[3]
A plane-wave DFT calculation with PBE was carried out for a relaxed structure of VTc3Ru.

Unit cell a=4.3784 b=4.3784 c=4.3784 alpha=90.00 beta=90.00 gamma=90.00
Space group Pm-3m (No. 221)
Unique sites:
V 0.0000 0.0000 0.0000 x1
Tc 0.0000 0.0000 0.5000 x3
Ru 0.5000 0.5000 0.5000 x1

- energy of formation (eV/atom) = 1.342
- crystal system = cubic
- uncorrected energy (eV per atom) = -8.56
- E above lowest polymorph (eV/atom) = 0.000

---

[4]
A plane-wave DFT calculation with PBE was carried out for a relaxed structure of Ba2MgCu3Sn4.

Unit cell a=4.7033 b=4.7033 c=11.4385 alpha=90.00 beta=90.00 gamma=90.00
Space group P-4m2 (No. 115)
Unique sites:
Ba 0.0000 0.5000 0.2477 x2
Mg 0.0000 0.0000 0.5000 x1
Cu 0.0000 0.5000 0.8745 x2
Cu 0.5000 0.5000 0.5000 x1
Sn 0.0000 0.0000 0.0000 x1
Sn 0.0000 0.5000 0.6390 x2
Sn 0.5000 0.5000 0.0000 x1

- energy of formation (eV/atom) = -0.356
- crystal system = tetragonal
- uncorrected energy (eV per atom) = -3.73

---

[5]
A plane-wave DFT calculation with PBE was carried out for a relaxed structure of ZrNiGe2.

Unit cell a=3.8315 b=3.8315 c=8.9671 alpha=90.00 beta=90.00 gamma=90.00
Space group P4/nmm (No. 129, origin choice 2)
Unique sites:
Zr 0.2500 0.2500 0.2449 x2
Ni 0.2500 0.7500 0.5000 x2
Ge 0.2500 0.2500 0.6619 x2
Ge 0.2500 0.7500 0.0000 x2

- energy of formation (eV/atom) = -0.584
- crystal system = tetragonal
- uncorrected energy (eV per atom) = -6.48

---

[6]
A plane-wave DFT calculation with PBE was carried out for a relaxed structure of CeZr3Sc.

Unit cell a=6.1042 b=3.0287 c=13.2503 alpha=90.00 beta=90.00 gamma=90.00
Space group Pmma (No. 51)
Unique sites:
Ce 0.2500 0.0000 0.2002 x2
Zr 0.0000 0.0000 0.0000 x2
Zr 0.0070 0.0000 0.6129 x4
Sc 0.2500 0.5000 0.8007 x2

- energy of formation (eV/atom) = 0.293
- crystal system = orthorhombic
- uncorrected energy (eV per atom) = -7.29